The following is a DFT calculation (GGA-PBE) of a geometry-optimized TlAgTe2 structure.

Values from the calculation:
The crystal system is cubic. Its space group is F-43m (216). The calculated total energy comes out at -2.669 eV per atom.

Structure (CIF):
```
data_TlAgTe2
_chemical_formula_sum 'Tl1 Ag1 Te2'
_cell_length_a 5.3942
_cell_length_b 5.3942
_cell_length_c 5.3942
_cell_angle_alpha 60.00
_cell_angle_beta 60.00
_cell_angle_gamma 60.00
_space_group_name_H-M_alt 'P 1'
_space_group_IT_number 1
loop_
_space_group_symop_operation_xyz
'x,y,z'
loop_
_atom_site_label
_atom_site_type_symbol
_atom_site_fract_x
_atom_site_fract_y
_atom_site_fract_z
Te1 Te 0.0000 0.0000 0.0000
Tl1 Tl 0.7500 0.7500 0.7500
Ag1 Ag 0.5000 0.5000 0.5000
Te2 Te 0.2500 0.2500 0.2500
```

The following is a DFT calculation (GGA-PBE) of a geometry-optimized ZrReSe2 structure.

Values from the calculation:
The crystal system is orthorhombic. Its space group is Cmmm (65). The calculated total energy comes out at -6.729 eV per atom.

Structure (CIF):
```
data_ZrReSe2
_chemical_formula_sum 'Zr1 Re1 Se2'
_cell_length_a 3.3441
_cell_length_b 3.3441
_cell_length_c 8.2428
_cell_angle_alpha 90.00
_cell_angle_beta 90.00
_cell_angle_gamma 122.95
_space_group_name_H-M_alt 'P 1'
_space_group_IT_number 1
loop_
_space_group_symop_operation_xyz
'x,y,z'
loop_
_atom_site_label
_atom_site_type_symbol
_atom_site_fract_x
_atom_site_fract_y
_atom_site_fract_z
Zr1 Zr 0.5000 0.5000 0.2500
Se1 Se 0.0000 0.0000 0.5140
Re1 Re 0.5000 0.5000 0.7500
Se2 Se 0.0000 0.0000 0.9860
```

- Which of these has the highest calculated total energy?
  TlAgTe2

- Which value of calculated total energy does entry 1 give?
  -2.669 eV per atom

- Look up the calculated total energy of the second one.
  -6.729 eV per atom

- Among the records above, which one has the highest calculated total energy?
  TlAgTe2